Density functional theory data (GGA-PBE) for AgPtPb3 after structural relaxation.

Summary:
The calculation puts the energy relative to the elements at -2 meV/atom. The value obtained for the energy above the most stable polymorph in this dataset is 0.0 meV/atom. For the density of states at the Fermi level, the calculation gives 2.399 states/eV/f.u.

Cell lengths 10.9390, 8.9314, 6.8293 Å; angles 90.00, 127.23, 90.00 degrees
Space group C2/m (No. 12)
One atom of each set of equivalent atoms:
Ag 0.0611 0.0000 0.3696 (multiplicity 4)
Pt 0.2429 0.5000 0.1076 (multiplicity 4)
Pb 0.0657 0.5000 0.3123 (multiplicity 4)
Pb 0.1945 0.1959 0.1689 (multiplicity 8)

---

Density functional theory data (GGA-PBE) for TbCe2Ga6 after structural relaxation.

Summary:
The calculation puts the energy relative to the elements at -608 meV/atom. The value obtained for the energy above the most stable polymorph in this dataset is 0.0 meV/atom. For the density of states at the Fermi level, the calculation gives 12.979 states/eV/f.u.

Cell lengths 7.3808, 7.3808, 4.1642 Å; angles 90.00, 90.00, 120.00 degrees
Space group P6/mmm (No. 191)
One atom of each set of equivalent atoms:
Tb 0.0000 0.0000 0.0000 (multiplicity 1)
Ce 0.3333 0.6667 0.0000 (multiplicity 2)
Ga 0.0000 0.3327 0.5000 (multiplicity 6)

---

Density functional theory data (GGA-PBE) for MgGaPdPt after structural relaxation.

Summary:
The calculation puts the energy relative to the elements at -748 meV/atom. For the density of states at the Fermi level, the calculation gives 2.179 states/eV/f.u.

Cell lengths 6.2596, 6.2596, 6.2596 Å; angles 90.00, 90.00, 90.00 degrees
Space group F-43m (No. 216)
One atom of each set of equivalent atoms:
Mg 0.0000 0.0000 0.0000 (multiplicity 4)
Ga 0.0000 0.0000 0.5000 (multiplicity 4)
Pd 0.2500 0.2500 0.2500 (multiplicity 4)
Pt 0.2500 0.2500 0.7500 (multiplicity 4)

---

Density functional theory data (GGA-PBE) for BeAg2Sn after structural relaxation.

Summary:
The calculation puts the energy relative to the elements at 375 meV/atom. The value obtained for the energy above the most stable polymorph in this dataset is 0.0 meV/atom. For the density of states at the Fermi level, the calculation gives 1.645 states/eV/f.u.

Cell lengths 4.0568, 4.0568, 18.6018 Å; angles 90.00, 90.00, 90.00 degrees
Space group I-42d (No. 122)
One atom of each set of equivalent atoms:
Be 0.0000 0.0000 0.0000 (multiplicity 4)
Ag 0.2304 0.2500 0.1250 (multiplicity 8)
Sn 0.0000 0.0000 0.5000 (multiplicity 4)

---

Density functional theory data (GGA-PBE) for TaGe2P after structural relaxation.

Summary:
The calculation puts the energy relative to the elements at 642 meV/atom. For the density of states at the Fermi level, the calculation gives 3.944 states/eV/f.u.

Cell lengths 5.9899, 5.9899, 10.3693 Å; angles 90.00, 90.00, 90.00 degrees
Space group I-42d (No. 122)
One atom of each set of equivalent atoms:
Ta 0.0000 0.0000 0.0000 (multiplicity 4)
Ge 0.2258 0.2500 0.6250 (multiplicity 8)
P 0.0000 0.0000 0.5000 (multiplicity 4)

---

Density functional theory data (GGA-PBE) for Rh2PbW after structural relaxation.

Summary:
The calculation puts the energy relative to the elements at 452 meV/atom. For the density of states at the Fermi level, the calculation gives 3.331 states/eV/f.u.

Cell lengths 6.4536, 6.4536, 6.4536 Å; angles 90.00, 90.00, 90.00 degrees
Space group F-43m (No. 216)
One atom of each set of equivalent atoms:
Rh 0.0000 0.0000 0.0000 (multiplicity 4)
Rh 0.2500 0.2500 0.2500 (multiplicity 4)
Pb 0.0000 0.0000 0.5000 (multiplicity 4)
W 0.2500 0.2500 0.7500 (multiplicity 4)

---

Density functional theory data (GGA-PBE) for LaSi2Br after structural relaxation.

Summary:
The value obtained for the energy above the most stable polymorph in this dataset is 253.0 meV/atom. The calculation puts the raw formation energy at -0.498 eV per atom. For the density of states at the Fermi level, the calculation gives 2.176 states/eV/f.u.

Cell lengths 3.8576, 5.5706, 8.9370 Å; angles 90.00, 90.00, 90.00 degrees
Space group Imm2 (No. 44)
One atom of each set of equivalent atoms:
La 0.0000 0.0000 0.0000 (multiplicity 2)
Si 0.0000 0.0000 0.4179 (multiplicity 2)
Si 0.0000 0.5000 0.7712 (multiplicity 2)
Br 0.0000 0.5000 0.2046 (multiplicity 2)

---

Density functional theory data (GGA-PBE) for Al2TlF7 after structural relaxation.

Summary:
The calculation puts the raw formation energy at -3.068 eV per atom. For the density of states at the Fermi level, the calculation gives 0.000 states/eV/f.u.

Cell lengths 6.3573, 12.4258, 3.5565 Å; angles 90.00, 90.00, 90.00 degrees
Space group Cmmm (No. 65)
One atom of each set of equivalent atoms:
Al 0.0000 0.1471 0.0000 (multiplicity 4)
Tl 0.0000 0.5000 0.5000 (multiplicity 2)
F 0.0000 0.0000 0.0000 (multiplicity 2)
F 0.0000 0.1795 0.5000 (multiplicity 4)
F 0.2257 0.3545 0.0000 (multiplicity 8)

---

Density functional theory data (GGA-PBE) for BaTe2Pb2 after structural relaxation.

Summary:
The value obtained for the energy above the most stable polymorph in this dataset is 0.0 meV/atom. The calculation puts the raw formation energy at -0.648 eV per atom. For the density of states at the Fermi level, the calculation gives 0.000 states/eV/f.u.

Cell lengths 6.2067, 6.2067, 10.0749 Å; angles 90.00, 90.00, 90.00 degrees
Space group I4/mmm (No. 139)
One atom of each set of equivalent atoms:
Ba 0.0000 0.0000 0.0000 (multiplicity 2)
Te 0.0000 0.5000 0.2500 (multiplicity 4)
Pb 0.0000 0.0000 0.3438 (multiplicity 4)

---

Density functional theory data (GGA-PBE) for K4Pa3CdTe8 after structural relaxation.

Summary:
The calculation puts the raw formation energy at -0.873 eV per atom. For the density of states at the Fermi level, the calculation gives 19.836 states/eV/f.u.

Cell lengths 9.0001, 9.0001, 24.8852 Å; angles 90.00, 90.00, 120.00 degrees
Space group R-3m (No. 166, hexagonal axes)
One atom of each set of equivalent atoms:
K 0.0000 0.0000 0.0000 (multiplicity 3)
K 0.0000 0.5000 0.0000 (multiplicity 9)
Pa 0.0000 0.5000 0.5000 (multiplicity 9)
Cd 0.0000 0.0000 0.5000 (multiplicity 3)
Te 0.0000 0.0000 0.2378 (multiplicity 6)
Te 0.0009 0.5005 0.7637 (multiplicity 18)

---

Density functional theory data (GGA-PBE) for AcSi2Tc after structural relaxation.

Summary:
The value obtained for the energy above the most stable polymorph in this dataset is 0.0 meV/atom. The calculation puts the raw formation energy at -0.540 eV per atom. For the density of states at the Fermi level, the calculation gives 2.491 states/eV/f.u.

Cell lengths 7.4456, 4.1781, 10.7039 Å; angles 90.00, 90.00, 90.00 degrees
Space group Pnma (No. 62)
One atom of each set of equivalent atoms:
Ac 0.1481 0.2500 0.1215 (multiplicity 4)
Si 0.1703 0.2500 0.8100 (multiplicity 4)
Si 0.1733 0.2500 0.4189 (multiplicity 4)
Tc 0.0036 0.7500 0.3905 (multiplicity 4)

---

Density functional theory data (GGA-PBE) for Pm2ZnGe4Pt3 after structural relaxation.

Summary:
The calculation puts the energy relative to the elements at -840 meV/atom. For the density of states at the Fermi level, the calculation gives 3.616 states/eV/f.u.

Cell lengths 4.2407, 4.2407, 10.6976 Å; angles 90.00, 90.00, 90.00 degrees
Space group P-4m2 (No. 115)
One atom of each set of equivalent atoms:
Pm 0.0000 0.5000 0.2453 (multiplicity 2)
Zn 0.5000 0.5000 0.0000 (multiplicity 1)
Ge 0.0000 0.0000 0.5000 (multiplicity 1)
Ge 0.0000 0.5000 0.8612 (multiplicity 2)
Ge 0.5000 0.5000 0.5000 (multiplicity 1)
Pt 0.0000 0.0000 0.0000 (multiplicity 1)
Pt 0.0000 0.5000 0.6302 (multiplicity 2)

---

Density functional theory data (GGA-PBE) for Tb12Pd3C5 after structural relaxation.

Summary:
The calculation puts the energy relative to the elements at -255 meV/atom. For the density of states at the Fermi level, the calculation gives 16.102 states/eV/f.u.

Cell lengths 15.5952, 15.5952, 15.5952 Å; angles 90.00, 90.00, 90.00 degrees
Space group Ia-3d (No. 230)
One atom of each set of equivalent atoms:
Tb 0.0306 0.0545 0.6499 (multiplicity 96)
Pd 0.0000 0.2500 0.1250 (multiplicity 24)
C 0.0000 0.0000 0.0000 (multiplicity 16)
C 0.0000 0.2500 0.3750 (multiplicity 24)

---

Density functional theory data (GGA-PBE) for Na6CdGe3 after structural relaxation.

Summary:
The calculation puts the energy relative to the elements at -68 meV/atom. For the density of states at the Fermi level, the calculation gives 2.596 states/eV/f.u.

Cell lengths 11.8070, 5.2234, 9.7332 Å; angles 90.00, 120.95, 90.00 degrees
Space group C2/m (No. 12)
One atom of each set of equivalent atoms:
Na 0.0346 0.0000 0.1926 (multiplicity 4)
Na 0.1546 0.5000 0.4940 (multiplicity 4)
Na 0.1909 0.5000 0.8683 (multiplicity 4)
Cd 0.0000 0.0000 0.5000 (multiplicity 2)
Ge 0.0000 0.5000 0.0000 (multiplicity 2)
Ge 0.2418 0.5000 0.2432 (multiplicity 4)

---

Density functional theory data (GGA-PBE) for OsS2I2 after structural relaxation.

Summary:
The value obtained for the energy above the most stable polymorph in this dataset is 0.0 meV/atom. The calculation puts the raw formation energy at 0.364 eV per atom. For the density of states at the Fermi level, the calculation gives 1.799 states/eV/f.u.

Cell lengths 5.9218, 5.9218, 8.8291 Å; angles 90.00, 90.00, 90.00 degrees
Space group P4/mbm (No. 127)
One atom of each set of equivalent atoms:
Os 0.0000 0.0000 0.0000 (multiplicity 2)
S 0.1400 0.3600 0.0000 (multiplicity 4)
I 0.1886 0.6886 0.5000 (multiplicity 4)

---

Density functional theory data (GGA-PBE) for Cs2BiB2S6 after structural relaxation.

Summary:
The calculation puts the raw formation energy at -0.572 eV per atom. For the density of states at the Fermi level, the calculation gives 5.862 states/eV/f.u.

Cell lengths 11.7272, 6.7759, 9.1570 Å; angles 90.00, 115.12, 90.00 degrees
Space group C2/m (No. 12)
One atom of each set of equivalent atoms:
Cs 0.2068 0.0000 0.1214 (multiplicity 4)
Bi 0.0000 0.0000 0.5000 (multiplicity 2)
B 0.0965 0.5000 0.2909 (multiplicity 4)
S 0.0120 0.2683 0.2692 (multiplicity 8)
S 0.2444 0.5000 0.2706 (multiplicity 4)

---

Density functional theory data (GGA-PBE) for PrTcAs2 after structural relaxation.

Summary:
The calculation puts the energy relative to the elements at -394 meV/atom. The value obtained for the energy above the most stable polymorph in this dataset is 0.0 meV/atom. For the density of states at the Fermi level, the calculation gives 3.183 states/eV/f.u.

Cell lengths 3.2338, 3.2338, 7.2550 Å; angles 90.00, 90.00, 90.00 degrees
Space group P4/mmm (No. 123)
One atom of each set of equivalent atoms:
Pr 0.0000 0.0000 0.0000 (multiplicity 1)
Tc 0.0000 0.0000 0.5000 (multiplicity 1)
As 0.5000 0.5000 0.2991 (multiplicity 2)

---

Density functional theory data (GGA-PBE) for Tm4Mg3Co after structural relaxation.

Summary:
The calculation puts the energy relative to the elements at -105 meV/atom. For the density of states at the Fermi level, the calculation gives 6.320 states/eV/f.u.

Cell lengths 3.4017, 3.4017, 16.8775 Å; angles 90.00, 90.00, 90.00 degrees
Space group P4/mmm (No. 123)
One atom of each set of equivalent atoms:
Tm 0.0000 0.0000 0.0936 (multiplicity 2)
Tm 0.0000 0.0000 0.3655 (multiplicity 2)
Mg 0.5000 0.5000 0.2334 (multiplicity 2)
Mg 0.5000 0.5000 0.5000 (multiplicity 1)
Co 0.5000 0.5000 0.0000 (multiplicity 1)

---

Density functional theory data (GGA-PBE) for Ca2YAs2 after structural relaxation.

Summary:
The calculation puts the energy relative to the elements at -705 meV/atom. The value obtained for the energy above the most stable polymorph in this dataset is 359.7 meV/atom. For the density of states at the Fermi level, the calculation gives 4.629 states/eV/f.u.

Cell lengths 4.4123, 4.4123, 13.0879 Å; angles 90.00, 90.00, 90.00 degrees
Space group I4/mmm (No. 139)
One atom of each set of equivalent atoms:
Ca 0.0000 0.5000 0.2500 (multiplicity 4)
Y 0.0000 0.0000 0.0000 (multiplicity 2)
As 0.0000 0.0000 0.3970 (multiplicity 4)

---

Density functional theory data (GGA-PBE) for AlSiHg2Rh after structural relaxation.

Summary:
The calculation puts the raw formation energy at 0.904 eV per atom. For the density of states at the Fermi level, the calculation gives 3.410 states/eV/f.u.

Cell lengths 4.9308, 4.9308, 4.6814 Å; angles 90.00, 90.00, 90.00 degrees
Space group P4/mmm (No. 123)
One atom of each set of equivalent atoms:
Al 0.0000 0.0000 0.0000 (multiplicity 1)
Si 0.0000 0.0000 0.5000 (multiplicity 1)
Hg 0.0000 0.5000 0.5000 (multiplicity 2)
Rh 0.5000 0.5000 0.0000 (multiplicity 1)